(1)
Compound: Zr2AuCl
Source: Alexandria via LeMat-Bulk
Functional: GGA-PBE
Structure: relaxed

Output
**Space group**: Pmmm

```
Zr2AuCl
1.0
3.371 0.000 0.000
0.000 4.464 0.000
0.000 0.000 5.623
Zr Au Cl
2 1 1
direct
0.000 0.000 0.000
0.500 0.000 0.500
0.000 0.500 0.500
0.500 0.500 0.000
```



(2)
Compound: Zr2AuCl
Source: Alexandria via LeMat-Bulk
Functional: GGA-PBE
Structure: relaxed

Output
**Space group**: F-43m

```
Zr2AuCl
1.0
0.000 3.526 3.526
3.526 0.000 3.526
3.526 3.526 0.000
Zr Au Cl
2 1 1
direct
0.000 0.000 0.000
0.250 0.250 0.250
0.500 0.500 0.500
0.750 0.750 0.750
```



(3)
Compound: Zr2AuCl
Source: Alexandria via LeMat-Bulk
Functional: GGA-PBE
Structure: relaxed

Output
**Space group**: P4/mmm

```
Zr2AuCl
1.0
3.156 0.000 0.000
0.000 3.156 0.000
0.000 0.000 7.610
Zr Au Cl
2 1 1
direct
0.000 0.000 0.242
0.000 0.000 0.758
0.500 0.500 0.500
0.500 0.500 0.000
```



The energetic minimum among the shown structures is (3); the next structure lies 232 meV per atom above.